(1)
# HgOsBr2 (PBE, relaxed)
# **E_form (uncorrected)**: 42.93 kJ per mole of atoms
# **Calculated density**: 8783 kg/m³
# **Energy above the lowest structure with this stoichiometry**: 140 meV per atom
data_HgOsBr2
_space_group_name_H-M_alt 'I -4 2 d'
_space_group_IT_number 122
_space_group_name_Hall 'I -4 2bw'
_cell_length_a 8.678
_cell_length_b 8.678
_cell_length_c 5.530
_cell_angle_alpha 90.00
_cell_angle_beta 90.00
_cell_angle_gamma 90.00
loop_
_atom_site_label
_atom_site_fract_x
_atom_site_fract_y
_atom_site_fract_z
Hg1 0.000 0.000 0.000
Os1 0.000 0.000 0.500
Br1 0.123 0.250 0.625

(2)
# HgOsBr2 (PBE, relaxed)
# **E_form (uncorrected)**: 82.81 kJ per mole of atoms
# **Calculated density**: 8979 kg/m³
# **Energy above the lowest structure with this stoichiometry**: 553 meV per atom
data_HgOsBr2
_space_group_name_H-M_alt 'P 4/m m m'
_space_group_IT_number 123
_space_group_name_Hall '-P 4 2'
_cell_length_a 3.235
_cell_length_b 3.235
_cell_length_c 9.731
_cell_angle_alpha 90.00
_cell_angle_beta 90.00
_cell_angle_gamma 90.00
loop_
_atom_site_label
_atom_site_fract_x
_atom_site_fract_y
_atom_site_fract_z
Hg1 0.000 0.000 0.000
Os1 0.000 0.000 0.500
Br1 0.500 0.500 0.339

(3)
# HgOsBr2 (PBE, relaxed)
# **E_form (uncorrected)**: 50.15 kJ per mole of atoms
# **Calculated density**: 9450 kg/m³
# **Energy above the lowest structure with this stoichiometry**: 215 meV per atom
data_HgOsBr2
_space_group_name_H-M_alt 'R -3 m'
_space_group_IT_number 166
_space_group_name_Hall '-R 3 2"'
_cell_length_a 3.0956
_cell_length_b 3.0956
_cell_length_c 34.9780
_cell_angle_alpha 90.00
_cell_angle_beta 90.00
_cell_angle_gamma 120.00
loop_
_atom_site_label
_atom_site_fract_x
_atom_site_fract_y
_atom_site_fract_z
Hg1 0.0000 0.0000 0.0000
Os1 0.0000 0.0000 0.5000
Br1 0.0000 0.0000 0.4325

Size of the total moment, respectively: 1.28 1.21 0.00 Bohr magnetons per cell.